[1]
First-principles (PBE-GGA) data for an optimized crystal structure of Na2BiF, as listed in the Alexandria database.

The structure in CIF format:
```
data_Na2BiF
_chemical_formula_sum 'Na2 Bi1 F1'
_cell_length_a 3.2497
_cell_length_b 3.2497
_cell_length_c 7.9677
_cell_angle_alpha 90.00
_cell_angle_beta 90.00
_cell_angle_gamma 90.00
_symmetry_space_group_name_H-M 'P 4/m m m'
_symmetry_Int_Tables_number 123
_symmetry_space_group_name_Hall '-P 4 2'
loop_
_atom_site_label
_atom_site_fract_x
_atom_site_fract_y
_atom_site_fract_z
_atom_site_occupancy
Na1 0.0000 0.0000 0.1779 1
Bi1 0.5000 0.5000 0.5000 1
F1 0.5000 0.5000 0.0000 1
```

Values from the calculation:
- N(E_F): 0.327 states/eV per cell
- E_form (uncorrected): -5.4 eV/f.u.
- Energy: -3.44 eV/atom
- Total magnetization: 0.00 μB/atom

---

[2]
First-principles (PBE-GGA) data for an optimized crystal structure of NaBiF6, as listed in the Alexandria database.

The structure in CIF format:
```
data_NaBiF6
_chemical_formula_sum 'Na1 Bi1 F6'
_cell_length_a 5.4278
_cell_length_b 5.4278
_cell_length_c 5.2724
_cell_angle_alpha 90.00
_cell_angle_beta 90.00
_cell_angle_gamma 120.00
_symmetry_space_group_name_H-M 'P 3 1 2'
_symmetry_Int_Tables_number 149
_symmetry_space_group_name_Hall 'P 3 2'
loop_
_atom_site_label
_atom_site_fract_x
_atom_site_fract_y
_atom_site_fract_z
_atom_site_occupancy
Na1 0.0000 0.0000 0.0000 1
Bi1 0.6667 0.3333 0.5000 1
F1 0.3572 0.0315 0.7277 1
```

Values from the calculation:
- N(E_F): 0.000 states/eV per cell
- E_form (uncorrected): -17.3 eV/f.u.
- Energy: -4.21 eV/atom
- Total magnetization: 0.01 μB/atom

---

[3]
First-principles (PBE-GGA) data for an optimized crystal structure of NaBi3F, as listed in the Alexandria database.

The structure in CIF format:
```
data_NaBi3F
_chemical_formula_sum 'Na1 Bi3 F1'
_cell_length_a 5.4442
_cell_length_b 5.4442
_cell_length_c 5.4442
_cell_angle_alpha 90.00
_cell_angle_beta 90.00
_cell_angle_gamma 90.00
_symmetry_space_group_name_H-M 'P m -3 m'
_symmetry_Int_Tables_number 221
_symmetry_space_group_name_Hall '-P 4 2 3'
loop_
_atom_site_label
_atom_site_fract_x
_atom_site_fract_y
_atom_site_fract_z
_atom_site_occupancy
Na1 0.0000 0.0000 0.0000 1
Bi1 0.0000 0.0000 0.5000 1
F1 0.5000 0.5000 0.5000 1
```

Values from the calculation:
- N(E_F): 3.542 states/eV per cell
- E_form (uncorrected): 1.8 eV/f.u.
- Energy: -2.60 eV/atom
- Total magnetization: 0.00 μB/atom

---

[4]
First-principles (PBE-GGA) data for an optimized crystal structure of NaBi3F, as listed in the Alexandria database.

The structure in CIF format:
```
data_NaBi3F
_chemical_formula_sum 'Na1 Bi3 F1'
_cell_length_a 5.1599
_cell_length_b 5.1599
_cell_length_c 5.1599
_cell_angle_alpha 90.00
_cell_angle_beta 90.00
_cell_angle_gamma 90.00
_symmetry_space_group_name_H-M 'P m -3 m'
_symmetry_Int_Tables_number 221
_symmetry_space_group_name_Hall '-P 4 2 3'
loop_
_atom_site_label
_atom_site_fract_x
_atom_site_fract_y
_atom_site_fract_z
_atom_site_occupancy
Na1 0.0000 0.0000 0.0000 1
Bi1 0.0000 0.5000 0.5000 1
F1 0.5000 0.5000 0.5000 1
```

Values from the calculation:
- N(E_F): 3.181 states/eV per cell
- E_form (uncorrected): -2.2 eV/f.u.
- Energy: -3.40 eV/atom
- Total magnetization: 0.00 μB/atom